(1)
Material: YSi2NiIr
Method: DFT, GGA-PBE
State: optimized geometry

Geometry as POSCAR:
```
YSi2NiIr
1.0
-0.639 3.074 4.768
-5.097 0.457 2.530
3.432 -4.049 -2.101
Y Si Ir Ni
1 2 1 1
Cartesian
-0.038 0.395 3.158
-1.574 -1.340 1.158
-2.959 -0.487 2.920
0.000 0.000 0.000
-2.868 1.765 3.649
```

Properties
**Space-group type**: I-4m2, No. 119

(2)
Material: Sm2YNi2B2As3
Method: DFT, GGA-PBE
State: optimized geometry

Geometry as POSCAR:
```
Sm2YNi2B2As3
1.0
-2.029 2.029 10.993
2.029 -2.029 10.993
2.029 2.029 -10.993
Y Sm As B Ni
1 2 3 2 2
Cartesian
0.000 0.000 0.000
0.000 0.000 7.874
0.000 0.000 14.112
0.000 0.000 10.993
0.000 0.000 19.165
0.000 0.000 2.821
0.000 0.000 17.074
0.000 0.000 4.912
0.000 2.029 5.497
2.029 0.000 5.497
```

Properties
**Space-group type**: I4/mmm, No. 139

(3)
Material: Na2Cu4S3
Method: DFT, GGA-PBE
State: optimized geometry

Geometry as POSCAR:
```
Na2Cu4S3
1.0
0.132 6.475 4.949
-2.904 7.115 2.716
-5.163 -7.446 4.887
Cu S Na
8 6 4
Cartesian
-2.089 7.356 4.950
-4.602 10.534 9.278
-5.845 -1.211 7.602
-4.592 -6.364 4.420
-3.666 1.897 5.530
-3.343 12.509 8.132
-4.268 4.247 7.022
-3.333 -4.390 3.274
-2.886 5.177 5.410
-7.306 4.422 11.203
-3.631 -2.332 4.270
-0.629 1.723 1.349
-4.303 8.476 8.282
-5.048 0.967 7.142
-5.640 6.153 9.434
-2.295 -0.008 3.118
-6.182 2.816 9.215
-1.752 3.328 3.337
```

Properties
**Space-group type**: C2/m, No. 12

| no. | uncorrected energy (eV/atom) |
| --- | --- |
| 1 | -7.285 |
| 2 | -6.232 |
| 3 | -3.832 |